Record 1
# MnGaSCl2

A relaxed MnGaSCl2 crystal (PBEsol, Alexandria).

Geometry as extended XYZ:
```
5
Lattice="-3.567 3.046 -0.348 -1.723 -1.550 4.093 2.576 3.283 2.327" Properties=species:S:1:pos:R:3 pbc="T T T"
Cl -1.783 1.523 -0.174
Cl -0.861 -0.775 2.046
S 1.288 1.641 1.164
Ga 0.000 0.000 0.000
Mn -1.357 2.389 3.036
```

Values from the calculation:
Formation energy without anion corrections = -0.06 eV per atom
Crystal system = tetragonal



Record 2
# PrMg2Ni9

A relaxed PrMg2Ni9 crystal (PBEsol, Alexandria).

Geometry as extended XYZ:
```
12
Lattice="-4.448 -1.767 0.526 -2.022 -2.530 -3.563 0.793 -7.974 1.958" Properties=species:S:1:pos:R:3 pbc="T T T"
Ni -2.473 -3.816 -0.755
Ni -3.491 -5.090 -2.550
Pr 0.000 0.000 0.000
Ni -1.365 -9.403 0.945
Ni -4.312 -2.867 -2.024
Mg -0.486 -5.138 0.670
Ni -2.186 -7.181 1.471
Ni -0.964 -7.565 -0.588
Ni -3.204 -8.455 -0.324
Ni -4.713 -4.706 -0.491
Ni -2.839 -6.135 -0.539
Mg -5.191 -7.133 -1.749
```

Values from the calculation:
Crystal system = trigonal



Record 3
# MnSbRu2

A relaxed MnSbRu2 crystal (PBEsol, Alexandria).

Geometry as extended XYZ:
```
4
Lattice="3.828 0.000 0.000 0.000 3.828 0.000 -1.914 -1.914 3.937" Properties=species:S:1:pos:R:3 pbc="T T T"
Ru 1.914 0.000 1.969
Ru 0.000 0.000 0.000
Mn 0.000 1.914 1.969
Sb 1.914 1.914 0.000
```

Values from the calculation:
Formation energy without anion corrections = 0.13 eV per atom
Crystal system = tetragonal



Record 4
# Tl2TcMo

A relaxed Tl2TcMo crystal (PBEsol, Alexandria).

Geometry as extended XYZ:
```
4
Lattice="2.966 -0.023 0.000 -1.291 2.670 0.000 0.000 0.000 9.342" Properties=species:S:1:pos:R:3 pbc="T T T"
Tl 0.000 0.000 7.049
Tl 0.000 0.000 2.293
Mo 0.837 1.324 4.671
Tc 0.837 1.324 0.000
```

Values from the calculation:
ΔE to the lowest computed polymorph = 4 meV/atom
Crystal system = orthorhombic



Record 5
# MgAuO2

A relaxed MgAuO2 crystal (PBEsol, Alexandria).

Geometry as extended XYZ:
```
8
Lattice="-0.321 -5.080 0.256 1.169 2.238 -4.862 4.789 -0.388 -1.698" Properties=species:S:1:pos:R:3 pbc="T T T"
O 5.014 0.505 -5.090
Mg 1.701 -0.248 -2.791
Au 0.000 0.000 0.000
O 0.958 -1.409 -1.398
Au 3.935 -2.982 -3.513
Mg 2.234 -2.734 -0.721
O 2.484 -1.443 -4.133
O 2.817 -4.113 -1.986
```

Values from the calculation:
Formation energy without anion corrections = -0.95 eV per atom
Crystal system = tetragonal



Record 6
# BaAs2Ru

A relaxed BaAs2Ru crystal (PBEsol, Alexandria).

Geometry as extended XYZ:
```
4
Lattice="4.296 0.000 0.000 0.000 4.296 0.000 0.000 0.000 4.553" Properties=species:S:1:pos:R:3 pbc="T T T"
As 2.148 0.000 0.000
As 0.000 2.148 0.000
Ru 0.000 0.000 2.277
Ba 2.148 2.148 2.277
```

Values from the calculation:
Crystal system = tetragonal



Record 7
# SrH3Br

A relaxed SrH3Br crystal (PBEsol, Alexandria).

Geometry as extended XYZ:
```
5
Lattice="-0.970 0.502 4.231 4.070 -1.172 1.072 1.258 4.179 -0.207" Properties=species:S:1:pos:R:3 pbc="T T T"
H -0.485 0.251 2.115
H 2.035 -0.586 0.536
Sr 0.000 0.000 0.000
Br 2.179 1.755 2.548
H 0.629 2.090 -0.104
```

Values from the calculation:
Crystal system = cubic



Record 8
# KAlTc2

A relaxed KAlTc2 crystal (PBEsol, Alexandria).

Geometry as extended XYZ:
```
4
Lattice="2.706 0.000 0.000 -1.353 4.621 0.034 0.000 -0.690 6.716" Properties=species:S:1:pos:R:3 pbc="T T T"
K 1.353 0.000 0.000
Al 0.000 -0.345 3.358
Tc 0.000 2.292 2.395
Tc 1.353 1.639 4.355
```

Values from the calculation:
Crystal system = monoclinic



| no. | energy (eV/atom) |
| --- | --- |
| 1 | -4.365 |
| 2 | -5.565 |
| 3 | -8.531 |
| 4 | -6.199 |
| 5 | -4.982 |
| 6 | -5.247 |
| 7 | -2.423 |
| 8 | -6.162 |